Entry 1:
Compound: Tl8BiS6
Source: Alexandria via LeMat-Bulk
Functional: PBE-GGA
Structure: optimized geometry

Formation energy (no corrections): -0.317 eV per atom

abc: 7.3175 7.3175 10.5243
angles: 69.66 69.66 60.00
Positions (direct):
Tl 0.7747 0.4630 0.6492
Tl 0.8868 0.2253 0.3508
Tl 0.5370 0.8868 0.3508
Tl 0.3337 0.3337 0.9990
Tl 0.6663 0.6663 0.0010
Tl 0.4630 0.1132 0.6492
Tl 0.1132 0.7747 0.6492
Tl 0.2253 0.5370 0.3508
Bi 0.0000 0.0000 0.0000
S 0.9347 0.6331 0.1836
S 0.7513 0.0653 0.8164
S 0.3669 0.7513 0.8164
S 0.6331 0.2487 0.1836
S 0.2487 0.9347 0.1836
S 0.0653 0.3669 0.8164

---

Entry 2:
Compound: Tl6BiS8
Source: Alexandria via LeMat-Bulk
Functional: PBE-GGA
Structure: optimized geometry

Formation energy (no corrections): -0.069 eV per atom

abc: 7.4420 7.4420 7.4420
angles: 89.94 89.94 89.94
Positions (direct):
Tl 0.6280 0.3752 0.8777
Tl 0.3752 0.8777 0.6280
Tl 0.8777 0.6280 0.3752
Tl 0.3720 0.6248 0.1223
Tl 0.6248 0.1223 0.3720
Tl 0.1223 0.3720 0.6248
Bi 0.0000 0.0000 0.0000
S 0.6626 0.6626 0.6626
S 0.3374 0.3374 0.3374
S 0.6832 0.8399 0.1394
S 0.8399 0.1394 0.6832
S 0.1394 0.6832 0.8399
S 0.3168 0.1601 0.8606
S 0.1601 0.8606 0.3168
S 0.8606 0.3168 0.1601

---

Entry 3:
Compound: Tl2BiS4
Source: Alexandria via LeMat-Bulk
Functional: PBE-GGA
Structure: optimized geometry

Formation energy (no corrections): -0.173 eV per atom

abc: 8.3524 8.2502 8.2502
angles: 59.51 59.59 59.59
Positions (direct):
Tl 0.1160 0.1340 0.6340
Tl 0.5000 0.0000 0.0000
Tl 0.5000 0.5000 0.5000
Tl 0.8840 0.8660 0.3660
Bi 0.0000 0.5000 0.0000
Bi 0.5000 0.5000 0.0000
S 0.2583 0.2543 0.2291
S 0.2583 0.7291 0.7543
S 0.2713 0.2553 0.7553
S 0.7180 0.2553 0.7553
S 0.2820 0.7447 0.2447
S 0.7417 0.2709 0.2457
S 0.7287 0.7447 0.2447
S 0.7417 0.7457 0.7709

---

Entry 4:
Compound: TlBi2S2
Source: Alexandria via LeMat-Bulk
Functional: PBE-GGA
Structure: optimized geometry

Formation energy (no corrections): -0.035 eV per atom

abc: 8.8454 8.8454 3.7937
angles: 90.00 90.00 90.00
Positions (direct):
S 0.1546 0.6546 0.5000
S 0.6546 0.8454 0.5000
S 0.8454 0.3454 0.5000
S 0.3454 0.1546 0.5000
Tl 0.0000 0.0000 0.0000
Tl 0.5000 0.5000 0.0000
Bi 0.3035 0.8035 0.0000
Bi 0.8035 0.6965 0.0000
Bi 0.6965 0.1965 0.0000
Bi 0.1965 0.3035 0.0000

---

Entry 5:
Compound: Tl2BiS2
Source: Alexandria via LeMat-Bulk
Functional: PBE-GGA
Structure: optimized geometry

Formation energy (no corrections): -0.242 eV per atom

abc: 3.9395 6.7322 11.0429
angles: 90.00 90.00 90.00
Positions (direct):
Tl 0.0000 0.5619 0.1622
Tl 0.0000 0.4381 0.8378
Tl 0.0000 0.0619 0.3378
Tl 0.0000 0.9381 0.6622
Bi 0.0000 0.0000 0.0000
Bi 0.0000 0.5000 0.5000
S 0.5000 0.6971 0.3618
S 0.5000 0.3029 0.6382
S 0.5000 0.1971 0.1382
S 0.5000 0.8029 0.8618

---

Entry 6:
Compound: Tl2Bi2S5
Source: Alexandria via LeMat-Bulk
Functional: PBE-GGA
Structure: optimized geometry

Formation energy (no corrections): -0.222 eV per atom

abc: 5.5204 7.0706 8.7128
angles: 65.97 71.46 66.74
Positions (direct):
Tl 0.3996 0.9182 0.2732
Tl 0.6004 0.0818 0.7268
Bi 0.1394 0.5749 0.1456
Bi 0.8606 0.4251 0.8544
S 0.3360 0.4882 0.8396
S 0.6640 0.5118 0.1604
S 0.0652 0.3294 0.5435
S 0.9348 0.6706 0.4565
S 0.0000 0.0000 0.0000

---

Entry 7:
Compound: TlBi2S4
Source: Alexandria via LeMat-Bulk
Functional: PBE-GGA
Structure: optimized geometry

Formation energy (no corrections): -0.254 eV per atom

abc: 3.9907 6.9799 13.9134
angles: 90.00 90.00 106.61
Positions (direct):
Tl 0.6063 0.2126 0.7500
Tl 0.3937 0.7874 0.2500
Bi 0.1354 0.2709 0.4327
Bi 0.8646 0.7291 0.9327
Bi 0.1354 0.2709 0.0673
Bi 0.8646 0.7291 0.5673
S 0.7717 0.5435 0.1170
S 0.7717 0.5435 0.3830
S 0.2283 0.4565 0.8830
S 0.2283 0.4565 0.6170
S 0.9574 0.9149 0.7500
S 0.0426 0.0851 0.2500
S 0.5000 0.0000 0.0000
S 0.5000 0.0000 0.5000

---

Entry 8:
Compound: TlBi2S2
Source: Alexandria via LeMat-Bulk
Functional: PBE-GGA
Structure: optimized geometry

Formation energy (no corrections): -0.102 eV per atom

abc: 5.5478 5.5478 6.3315
angles: 64.02 64.02 90.00
Positions (direct):
S 0.7500 0.2500 0.5000
S 0.2500 0.7500 0.5000
Tl 0.0000 0.0000 0.0000
Bi 0.3244 0.3244 0.3511
Bi 0.6756 0.6756 0.6489

---

Entry 9:
Compound: TlBi6S8
Source: Alexandria via LeMat-Bulk
Functional: PBE-GGA
Structure: optimized geometry

Formation energy (no corrections): -0.172 eV per atom

abc: 8.2338 8.2338 8.2338
angles: 95.70 95.70 95.70
Positions (direct):
Tl 0.0000 0.0000 0.0000
Bi 0.6055 0.4496 0.7964
Bi 0.4496 0.7964 0.6055
Bi 0.7964 0.6055 0.4496
Bi 0.3945 0.5504 0.2036
Bi 0.5504 0.2036 0.3945
Bi 0.2036 0.3945 0.5504
S 0.7593 0.7593 0.7593
S 0.2407 0.2407 0.2407
S 0.5813 0.8695 0.3321
S 0.8695 0.3321 0.5813
S 0.3321 0.5813 0.8695
S 0.4187 0.1305 0.6679
S 0.1305 0.6679 0.4187
S 0.6679 0.4187 0.1305

---

Entry 10:
Compound: Tl2BiS
Source: Alexandria via LeMat-Bulk
Functional: PBE-GGA
Structure: optimized geometry

Formation energy (no corrections): -0.004 eV per atom

abc: 3.7779 3.7779 10.4405
angles: 79.58 79.58 60.00
Positions (direct):
S 0.5000 0.5000 0.5000
Tl 0.1066 0.1066 0.6803
Tl 0.8934 0.8934 0.3197
Bi 0.0000 0.0000 0.0000

---

Entry 11:
Compound: TlBi3S
Source: Alexandria via LeMat-Bulk
Functional: PBE-GGA
Structure: optimized geometry

Formation energy (no corrections): 1.067 eV per atom

abc: 5.8203 5.8203 5.8203
angles: 90.00 90.00 90.00
Each line ends with the local moment (μB).
Positions (direct):
S 0.5000 0.5000 0.5000  0.55
Tl 0.0000 0.0000 0.0000  0.00
Bi 0.0000 0.5000 0.0000  0.19
Bi 0.0000 0.0000 0.5000  0.14
Bi 0.5000 0.0000 0.0000  0.18

---

Entry 12:
Compound: Tm2Tl3BiS6
Source: Alexandria via LeMat-Bulk
Functional: PBE-GGA
Structure: optimized geometry

Formation energy (no corrections): -1.132 eV per atom

abc: 6.9915 6.9915 7.8493
angles: 98.53 98.53 119.98
Positions (direct):
Tm 0.3332 0.6668 0.0000
Tm 0.6668 0.3332 0.0000
Tl 0.1649 0.8351 0.5000
Tl 0.8351 0.1649 0.5000
Tl 0.5000 0.5000 0.5000
Bi 0.0000 0.0000 0.0000
S 0.9335 0.5878 0.8004
S 0.7203 0.7203 0.1981
S 0.0665 0.4122 0.1996
S 0.5878 0.9335 0.8004
S 0.2797 0.2797 0.8019
S 0.4122 0.0665 0.1996

---

Entry 13:
Compound: UTl2BiS6
Source: Alexandria via LeMat-Bulk
Functional: PBE-GGA
Structure: optimized geometry

Formation energy (no corrections): -0.563 eV per atom

abc: 7.1409 7.3332 10.3014
angles: 90.00 89.45 90.00
Positions (direct):
U 0.5000 0.0000 0.5000
U 0.0000 0.5000 0.0000
Tl 0.0159 0.9408 0.2535
Tl 0.5159 0.5592 0.7535
Tl 0.9841 0.0592 0.7465
Tl 0.4841 0.4408 0.2465
Bi 0.5000 0.0000 0.0000
Bi 0.0000 0.5000 0.5000
S 0.2980 0.6814 0.0438
S 0.7980 0.8186 0.5438
S 0.7020 0.3186 0.9562
S 0.2020 0.1814 0.4562
S 0.3230 0.7077 0.4481
S 0.8230 0.7923 0.9481
S 0.6770 0.2923 0.5519
S 0.1770 0.2077 0.0519
S 0.8988 0.5264 0.2389
S 0.3988 0.9736 0.7389
S 0.1012 0.4736 0.7611
S 0.6012 0.0264 0.2611

---

Entry 14:
Compound: UTl2BiS5
Source: Alexandria via LeMat-Bulk
Functional: PBE-GGA
Structure: optimized geometry

Formation energy (no corrections): -0.668 eV per atom

abc: 4.1521 8.8755 15.0697
angles: 90.00 90.00 103.53
Each line ends with the local moment (μB).
Positions (direct):
U 0.7781 0.5562 0.5260  1.22
U 0.2219 0.4438 0.0260  1.22
Tl 0.8611 0.7222 0.7977  0.00
Tl 0.0857 0.1715 0.6722  0.00
Tl 0.1389 0.2778 0.2977  0.00
Tl 0.9143 0.8285 0.1722  0.00
Bi 0.5304 0.0608 0.9468  0.00
Bi 0.4696 0.9392 0.4468  0.00
S 0.3640 0.7280 0.9899  -0.04
S 0.6901 0.3802 0.9147  -0.04
S 0.4934 0.9868 0.7808  -0.01
S 0.2663 0.5325 0.6341  -0.05
S 0.9279 0.8559 0.5620  -0.03
S 0.6360 0.2720 0.4899  -0.04
S 0.3099 0.6198 0.4147  -0.04
S 0.5066 0.0132 0.2808  -0.01
S 0.7337 0.4675 0.1341  -0.05
S 0.0721 0.1441 0.0620  -0.03

---

Entry 15:
Compound: UTl3Bi3S8
Source: Alexandria via LeMat-Bulk
Functional: PBE-GGA
Structure: optimized geometry

Formation energy (no corrections): -0.612 eV per atom

abc: 8.1937 8.1946 8.9316
angles: 117.34 90.00 119.99
Each line ends with the local moment (μB).
Positions (direct):
U 0.0000 0.0000 0.5000  1.95
Tl 0.0000 0.0000 0.0000  0.00
Tl 0.0000 0.5000 0.0000  0.00
Tl 0.5000 0.5000 0.0000  0.00
Bi 0.5000 0.0000 0.5000  0.02
Bi 0.5000 0.5000 0.5000  0.02
Bi 0.0000 0.5000 0.5000  0.02
S 0.2634 0.5269 0.2903  0.00
S 0.7366 0.4731 0.7097  0.00
S 0.7751 0.5501 0.3008  -0.03
S 0.2249 0.4499 0.6992  -0.03
S 0.7750 0.0256 0.3008  -0.03
S 0.2250 0.9744 0.6992  -0.03
S 0.2506 0.0256 0.3007  -0.03
S 0.7494 0.9744 0.6993  -0.03

---

Entry 16:
Compound: Tl3VBi3S8
Source: Alexandria via LeMat-Bulk
Functional: PBE-GGA
Structure: optimized geometry

Formation energy (no corrections): -0.458 eV per atom

abc: 7.9771 7.9818 8.8062
angles: 116.94 89.98 120.01
Each line ends with the local moment (μB).
Positions (direct):
Tl 0.0000 0.0000 0.0000  -0.01
Tl 0.0000 0.5000 0.0000  -0.01
Tl 0.5000 0.5000 0.0000  -0.01
V 0.0000 0.0000 0.5000  1.28
Bi 0.5000 0.0000 0.5000  0.02
Bi 0.5000 0.5000 0.5000  0.02
Bi 0.0000 0.5000 0.5000  0.02
S 0.2617 0.5233 0.2847  -0.01
S 0.7383 0.4767 0.7153  -0.01
S 0.7916 0.5832 0.3134  -0.05
S 0.2084 0.4168 0.6866  -0.05
S 0.7916 0.0218 0.3134  -0.05
S 0.2084 0.9782 0.6866  -0.05
S 0.2301 0.0218 0.3136  -0.05
S 0.7699 0.9782 0.6864  -0.05

---

Entry 17:
Compound: Tl2VBiS4
Source: Alexandria via LeMat-Bulk
Functional: PBE-GGA
Structure: optimized geometry

Formation energy (no corrections): -0.412 eV per atom

abc: 6.1928 9.4818 8.1536
angles: 90.00 90.00 90.00
Each line ends with the local moment (μB).
Positions (direct):
Tl 0.4419 0.3524 0.2865  0.01
Tl 0.4419 0.3524 0.7135  0.01
Tl 0.9419 0.6476 0.7865  0.01
Tl 0.9419 0.6476 0.2135  0.01
V 0.5081 0.8319 0.5000  1.56
V 0.0081 0.1681 0.0000  1.56
Bi 0.9673 0.1068 0.5000  0.13
Bi 0.4673 0.8932 0.0000  0.13
S 0.3741 0.1781 0.0000  -0.04
S 0.8741 0.8219 0.5000  -0.04
S 0.4030 0.0636 0.5000  -0.03
S 0.9030 0.9364 0.0000  -0.03
S 0.4318 0.7124 0.7364  -0.04
S 0.9318 0.2876 0.2364  -0.04
S 0.9318 0.2876 0.7636  -0.04
S 0.4318 0.7124 0.2636  -0.04

---

Entry 18:
Compound: YTlBi2S
Source: Alexandria via LeMat-Bulk
Functional: PBE-GGA
Structure: optimized geometry

Formation energy (no corrections): 0.067 eV per atom

abc: 5.4195 5.4700 5.4195
angles: 90.00 90.00 90.00
Positions (direct):
Y 0.5000 0.5000 0.5000
Tl 0.0000 0.5000 0.0000
S 0.0000 0.0000 0.0000
Bi 0.0000 0.0000 0.5000
Bi 0.5000 0.0000 0.0000

---

Entry 19:
Compound: Y3Tl4BiS8
Source: Alexandria via LeMat-Bulk
Functional: PBE-GGA
Structure: optimized geometry

Formation energy (no corrections): -1.224 eV per atom

abc: 8.1363 8.8486 8.1367
angles: 117.39 120.00 90.00
Positions (direct):
Y 0.5000 0.5000 0.0000
Y 0.5000 0.5000 0.5000
Y 0.0000 0.5000 0.5000
Tl 0.5000 0.0000 0.0000
Tl 0.5000 0.0000 0.5000
Tl 0.0000 0.0000 0.0000
Tl 0.0000 0.0000 0.5000
Bi 0.0000 0.5000 0.0000
S 0.2375 0.7015 0.9641
S 0.2375 0.7015 0.4750
S 0.2674 0.3024 0.5349
S 0.7266 0.7015 0.9641
S 0.2734 0.2985 0.0359
S 0.7326 0.6976 0.4651
S 0.7625 0.2985 0.5250
S 0.7625 0.2985 0.0359

---

Entry 20:
Compound: YTl3Bi2S6
Source: Alexandria via LeMat-Bulk
Functional: PBE-GGA
Structure: optimized geometry

Formation energy (no corrections): -0.777 eV per atom

abc: 7.1316 7.1316 7.8286
angles: 98.73 98.73 120.00
Positions (direct):
Y 0.0000 0.0000 0.0000
Tl 0.1671 0.8329 0.5000
Tl 0.8329 0.1671 0.5000
Tl 0.5000 0.5000 0.5000
Bi 0.3334 0.6666 0.0000
Bi 0.6666 0.3334 0.0000
S 0.9317 0.6063 0.7949
S 0.7431 0.7431 0.2053
S 0.0683 0.3937 0.2051
S 0.6063 0.9317 0.7949
S 0.2569 0.2569 0.7947
S 0.3937 0.0683 0.2051